1.
{
  "formula": "TlCd2Br",
  "functional": "PBE",
  "state": "optimized geometry",
  "lattice_angstrom": [[3.7443, 0.0000, 0.0000], [0.0764, 5.6770, 0.0000], [1.8545, 0.3786, 11.2666]],
  "species": ["Tl", "Tl", "Cd", "Cd", "Cd", "Cd", "Br", "Br"],
  "frac_coords": [[0.0000, 0.0000, 0.0000], [0.0831, 0.5286, 0.7003], [0.3156, 0.9278, 0.2775], [0.3614, 0.4203, 0.2216], [0.7176, 0.1090, 0.4790], [0.7590, 0.6015, 0.4233], [0.5327, 0.5087, 0.9688], [0.5493, 0.0198, 0.7318]],
  "e_form_raw_ev_per_atom": -0.278,
  "de_polymorph_ev_per_atom": 0.021,
  "vol_a3_per_cell": 239,
  "magmom_total_mub_per_fu": 0.0
}


2.
{
  "formula": "MgGe2O2",
  "functional": "PBE",
  "state": "optimized geometry",
  "lattice_angstrom": [[-2.3228, 2.3228, 3.9905], [2.3228, -2.3228, 3.9905], [2.3228, 2.3228, -3.9905]],
  "species": ["Mg", "Ge", "Ge", "O", "O"],
  "frac_coords": [[0.0000, 0.0000, 0.0000], [0.2500, 0.7500, 0.5000], [0.7500, 0.2500, 0.5000], [0.2394, 0.2394, 0.0000], [0.7606, 0.7606, 0.0000]],
  "e_form_raw_ev_per_atom": -0.645,
  "de_polymorph_ev_per_atom": 0.372,
  "vol_a3_per_cell": 86,
  "magmom_total_mub_per_fu": 0.0
}


3.
{
  "formula": "CaH3N",
  "functional": "PBE",
  "state": "optimized geometry",
  "lattice_angstrom": [[3.4391, 0.0000, 0.0000], [0.0000, 3.4391, 0.0000], [0.0000, 0.0000, 3.4391]],
  "species": ["Ca", "H", "H", "H", "N"],
  "frac_coords": [[0.0000, 0.0000, 0.0000], [0.0000, 0.5000, 0.5000], [0.5000, 0.0000, 0.5000], [0.5000, 0.5000, 0.0000], [0.5000, 0.5000, 0.5000]],
  "de_polymorph_ev_per_atom": 0.662,
  "vol_a3_per_cell": 41,
  "magmom_total_mub_per_fu": 0.0
}